[1]
The following is a DFT calculation (GGA-PBE) of Bi3Pd8 after structural relaxation.

Results
The total moment comes out at 0.0 Bohr magnetons per cell. The distance to the lowest polymorph of the same formula comes out at 265 meV per atom.

abc: 6.1453 6.1453 6.1453
angles: 96.02 96.02 96.02
With the nearest neighbours (Å) after each atom.
Atoms (fractional coordinates):
Pd1 0.6889 0.9221 0.0577  6 Pd 2.66-2.95, 1 Bi 2.70
Pd2 0.3552 0.3552 0.3552  3 Bi 2.65, 4 Pd 2.74-2.88
Pd3 0.9423 0.3111 0.0779  6 Pd 2.66-2.95, 1 Bi 2.70
Pd4 0.9221 0.0577 0.6889  6 Pd 2.66-2.95, 1 Bi 2.70
Pd5 0.0577 0.6889 0.9221  6 Pd 2.66-2.95, 1 Bi 2.70
Pd6 0.3111 0.0779 0.9423  6 Pd 2.66-2.95, 1 Bi 2.70
Pd7 0.6448 0.6448 0.6448  3 Bi 2.65, 4 Pd 2.74-2.88
Pd8 0.0779 0.9423 0.3111  6 Pd 2.66-2.95, 1 Bi 2.70
Bi1 0.0000 0.5000 0.5000  4 Pd 2.65-2.70
Bi2 0.5000 0.0000 0.5000  4 Pd 2.65-2.70
Bi3 0.5000 0.5000 0.0000  4 Pd 2.65-2.70



[2]
The following is a DFT calculation (GGA-PBE) of PmGaHg after structural relaxation.

Results
The total moment comes out at 0.0 Bohr magnetons per cell. The distance to the lowest polymorph of the same formula comes out at 185 meV per atom.

abc: 5.4001 5.4001 6.3482
angles: 104.94 104.94 113.19
With the nearest neighbours (Å) after each atom.
Atoms (fractional coordinates):
Ga1 0.0614 0.9386 0.5000  1 Hg 2.80, 1 Pm 3.05
Ga2 0.3114 0.6886 0.0000  1 Hg 2.80, 1 Pm 3.05
Hg1 0.6220 0.3780 0.0000  1 Ga 2.80
Hg2 0.3720 0.6280 0.5000  1 Ga 2.80
Pm1 0.9731 0.0269 0.0000  5 Ga 3.05-3.31, 5 Hg 3.17-3.30
Pm2 0.7231 0.2769 0.5000  5 Ga 3.05-3.31, 5 Hg 3.17-3.30



[3]
The following is a DFT calculation (GGA-PBE) of LiO2 after structural relaxation.

Results
The value obtained for the raw formation energy is -0.33 eV per atom. The total moment comes out at 0.4 Bohr magnetons per cell. The distance to the lowest polymorph of the same formula comes out at 591 meV per atom.

abc: 4.2206 4.2206 4.2469
angles: 61.06 61.06 89.75
With the nearest neighbours (Å) after each atom.
Atoms (fractional coordinates):
O1 0.7929 0.2071 0.0000  2 O 1.75
O2 0.7922 0.7922 0.0026  2 O 1.75
O3 0.2078 0.2078 0.9974  2 O 1.75
O4 0.2071 0.7929 0.0000  2 O 1.75
Li1 0.2504 0.7496 0.5000  8 O 2.14-2.20
Li2 0.7496 0.2504 0.5000  8 O 2.14-2.20



[4]
The following is a DFT calculation (GGA-PBE) of NdSm4Ho2 after structural relaxation.

Results
The total moment comes out at 0.0 Bohr magnetons per cell. The distance to the lowest polymorph of the same formula comes out at 0 meV per atom.

abc: 3.5657 9.5476 8.6582
angles: 121.23 78.10 111.92
With the nearest neighbours (Å) after each atom.
Atoms (fractional coordinates):
Ho1 0.6410 0.5698 0.8583  3 Ho 3.19-3.57, 3 Sm 3.37-3.53, 1 Nd 3.39
Ho2 0.3590 0.4302 0.1417  3 Ho 3.19-3.57, 3 Sm 3.37-3.53, 1 Nd 3.39
Sm1 0.4109 0.7064 0.5902  3 Ho 3.37-3.53, 5 Sm 3.57-3.68, 2 Nd 3.63-3.64
Sm2 0.1922 0.8316 0.2771  7 Sm 3.57-3.93, 4 Ho 3.62-3.63, 2 Nd 3.78-3.79
Sm3 0.8078 0.1684 0.7229  7 Sm 3.57-3.93, 4 Ho 3.62-3.63, 2 Nd 3.78-3.79
Sm4 0.5891 0.2936 0.4098  3 Ho 3.37-3.53, 5 Sm 3.57-3.68, 2 Nd 3.63-3.64
Nd1 0.0000 0.0000 0.0000  2 Ho 3.39, 2 Nd 3.57, 8 Sm 3.63-3.79



[5]
The following is a DFT calculation (GGA-PBE) of PaNiOs after structural relaxation.

Results
The total moment comes out at 0.0 Bohr magnetons per cell. The distance to the lowest polymorph of the same formula comes out at 247 meV per atom.

abc: 3.6396 4.1832 4.1832
angles: 120.00 90.00 90.00
With the nearest neighbours (Å) after each atom.
Atoms (fractional coordinates):
Os1 0.1666 0.0000 0.0000  3 Ni 2.42
Pa1 0.6666 0.3333 0.6667  6 Ni 3.02, 6 Os 3.02
Ni1 0.1668 0.6667 0.3333  3 Os 2.42